Here is an optimized crystal structure of NaSrLi2 from the Alexandria database. Energies are from PBE.

**DFT total energy**: -6.580 eV per formula unit
**Formation enthalpy at 0 K**: 0.0620 eV per atom
**ΔE to the lowest computed polymorph**: 0.000 eV per atom
**D(E_F)**: 3.61 states/eV/cell

CIF file:
```
data_NaSrLi2
_space_group_name_H-M_alt 'P 4/m m m'
_space_group_IT_number 123
_space_group_name_Hall '-P 4 2'
_cell_length_a 4.083
_cell_length_b 4.083
_cell_length_c 8.029
_cell_angle_alpha 90.00
_cell_angle_beta 90.00
_cell_angle_gamma 90.00
loop_
_atom_site_label
_atom_site_fract_x
_atom_site_fract_y
_atom_site_fract_z
Na1 0.000 0.000 0.000
Sr1 0.000 0.000 0.500
Li1 0.500 0.500 0.211
```